Here is an optimized crystal structure of CaYMg2Co from the Alexandria database. Energies are from GGA-PBE.

It has space group P4/mmm (No. 123), with a = 5.1091 Å, b = 5.1091 Å, c = 4.9387 Å, α = 90.00°, β = 90.00° and γ = 90.00°. The distinct sites, in fractional coordinates, are Ca at (0.0000, 0.0000, 0.0000), Y at (0.5000, 0.5000, 0.0000), Mg at (0.0000, 0.5000, 0.5000) and Co at (0.5000, 0.5000, 0.5000).

As for the mass density: 3.05 Mg/m³. As for the uncorrected energy: -18.75 eV/cell. Its energy of formation is 0 kJ/mol of atoms.

---

Here is an optimized crystal structure of CaYMgCo2 from the Alexandria database. Energies are from GGA-PBE.

It has space group P4/mmm (No. 123), with a = 4.7336 Å, b = 4.7336 Å, c = 5.1308 Å, α = 90.00°, β = 90.00° and γ = 90.00°. The distinct sites, in fractional coordinates, are Ca at (0.0000, 0.0000, 0.0000), Y at (0.5000, 0.5000, 0.5000), Mg at (0.0000, 0.0000, 0.5000) and Co at (0.0000, 0.5000, 0.0000).

As for the mass density: 3.92 Mg/m³. As for the uncorrected energy: -18.88 eV/cell. Its energy of formation is 104 kJ/mol of atoms.

---

Here is an optimized crystal structure of CaY2MgCo from the Alexandria database. Energies are from GGA-PBE.

It has space group P4/mmm (No. 123), with a = 5.1616 Å, b = 5.1616 Å, c = 5.1916 Å, α = 90.00°, β = 90.00° and γ = 90.00°. The distinct sites, in fractional coordinates, are Ca at (0.0000, 0.0000, 0.0000), Y at (0.0000, 0.5000, 0.5000), Mg at (0.5000, 0.5000, 0.0000) and Co at (0.5000, 0.5000, 0.5000).

As for the mass density: 3.62 Mg/m³. For the energy relative to the lowest polymorph listed for this composition, the calculation gives 0.000 eV/atom. As for the uncorrected energy: -23.83 eV/cell. Its energy of formation is -4 kJ/mol of atoms.

---

Here is an optimized crystal structure of CaY2MgCo from the Alexandria database. Energies are from GGA-PBE.

It has space group P4/mmm (No. 123), with a = 5.1838 Å, b = 5.1838 Å, c = 5.4715 Å, α = 90.00°, β = 90.00° and γ = 90.00°. The distinct sites, in fractional coordinates, are Ca at (0.0000, 0.0000, 0.0000), Y at (0.0000, 0.5000, 0.5000), Mg at (0.5000, 0.5000, 0.0000) and Co at (0.0000, 0.0000, 0.5000).

As for the mass density: 3.40 Mg/m³. For the energy relative to the lowest polymorph listed for this composition, the calculation gives 0.060 eV/atom. As for the uncorrected energy: -23.54 eV/cell. Its energy of formation is 2 kJ/mol of atoms.

---

Here is an optimized crystal structure of CaMgZn2Co from the Alexandria database. Energies are from GGA-PBE.

It has space group P4/mmm (No. 123), with a = 4.6820 Å, b = 4.6820 Å, c = 4.6882 Å, α = 90.00°, β = 90.00° and γ = 90.00°. The distinct sites, in fractional coordinates, are Ca at (0.0000, 0.0000, 0.0000), Mg at (0.5000, 0.5000, 0.0000), Zn at (0.0000, 0.5000, 0.5000) and Co at (0.5000, 0.5000, 0.5000).

As for the mass density: 4.11 Mg/m³. As for the uncorrected energy: -13.36 eV/cell. Its energy of formation is -2 kJ/mol of atoms.

---

Here is an optimized crystal structure of CaMn2Co2 from the Alexandria database. Energies are from GGA-PBE.

It has space group P4/mbm (No. 127), with a = 7.2618 Å, b = 7.2618 Å, c = 2.7894 Å, α = 90.00°, β = 90.00° and γ = 90.00°. The distinct sites, in fractional coordinates, are Ca at (0.0000, 0.0000, 0.0000), Mn at (0.1402, 0.3598, 0.5000) and Co at (0.1472, 0.6472, 0.0000).

As for the mass density: 6.05 Mg/m³. For the energy relative to the lowest polymorph listed for this composition, the calculation gives 0.044 eV/atom. As for the uncorrected energy: -66.30 eV/cell. Its energy of formation is 27 kJ/mol of atoms.

---

Here is an optimized crystal structure of CaMn2Co from the Alexandria database. Energies are from GGA-PBE.

It has space group Immm (No. 71), with a = 3.0783 Å, b = 4.8135 Å, c = 9.3414 Å, α = 90.00°, β = 90.00° and γ = 90.00°. The distinct sites, in fractional coordinates, are Ca at (0.0000, 0.0000, 0.0000), Mn at (0.0000, 0.5000, 0.2080) and Co at (0.0000, 0.0000, 0.5000).

As for the mass density: 5.01 Mg/m³. For the energy relative to the lowest polymorph listed for this composition, the calculation gives 0.190 eV/atom. As for the uncorrected energy: -51.36 eV/cell. Its energy of formation is 43 kJ/mol of atoms.

---

Here is an optimized crystal structure of CaMn2Co from the Alexandria database. Energies are from GGA-PBE.

It has space group I4_1/amd (No. 141, origin choice 2), with a = 4.4006 Å, b = 4.4006 Å, c = 16.3639 Å, α = 90.00°, β = 90.00° and γ = 90.00°. The distinct sites, in fractional coordinates, are Ca at (0.0000, 0.2500, 0.3750), Mn at (0.0000, 0.0000, 0.0000) and Co at (0.0000, 0.2500, 0.8750).

As for the mass density: 4.38 Mg/m³. For the energy relative to the lowest polymorph listed for this composition, the calculation gives 0.540 eV/atom. As for the uncorrected energy: -97.11 eV/cell. Its energy of formation is 76 kJ/mol of atoms.